Entry 1:
Entry from Alexandria: an optimized crystal structure of Ce2Nd3Sb3 (PBE).

total magnetization = 0.296 μB/atom
formation energy without anion corrections = -925 meV per atom
final energy = -5.74 eV/atom

Unit cell a=9.3590 b=9.3590 c=6.3911 alpha=90.00 beta=90.00 gamma=120.00
Space group P6_3/mcm (No. 193)
Symmetry-distinct sites (fractional):
Ce1 0.3333 0.6667 0.0000
Nd1 0.0000 0.2550 0.2500
Sb1 0.0000 0.3848 0.7500

---

Entry 2:
Entry from Alexandria: an optimized crystal structure of Ce2Nd2Sb5 (PBE).

total magnetization = 0.016 μB/atom
formation energy without anion corrections = -936 meV per atom
final energy = -5.60 eV/atom

Unit cell a=15.712 b=8.330 c=8.376 alpha=90.00 beta=90.00 gamma=90.00
Space group Cmce (No. 64)
Symmetry-distinct sites (fractional):
Ce1 0.192 0.000 0.000
Nd1 0.000 0.154 0.343
Sb1 0.000 0.000 0.000
Sb2 0.143 0.154 0.651

---

Entry 3:
Entry from Alexandria: an optimized crystal structure of CeNd3Sb3 (PBE).

total magnetization = 0.249 μB/atom
formation energy without anion corrections = -770 meV per atom
final energy = -5.43 eV/atom

Unit cell a=9.3060 b=9.3060 c=5.9175 alpha=90.00 beta=90.00 gamma=120.00
Space group P6_3/m (No. 176)
Symmetry-distinct sites (fractional):
Ce1 0.3333 0.6667 0.2500
Nd1 0.0132 0.7561 0.2500
Sb1 0.0542 0.6306 0.7500

---

Entry 4:
Entry from Alexandria: an optimized crystal structure of Ce4NdSb3 (PBE).

total magnetization = 0.551 μB/atom
formation energy without anion corrections = -575 meV per atom
final energy = -5.68 eV/atom

Unit cell a=15.396 b=4.998 c=6.307 alpha=90.00 beta=108.38 gamma=90.00
Space group C2/m (No. 12)
Symmetry-distinct sites (fractional):
Ce1 0.137 0.000 0.075
Ce2 0.221 0.500 0.293
Nd1 0.000 0.000 0.500
Sb1 0.000 0.500 0.000
Sb2 0.144 0.500 0.719

---

Entry 5:
Entry from Alexandria: an optimized crystal structure of Ce5NdSb4 (PBE).

total magnetization = 0.641 μB/atom
formation energy without anion corrections = -807 meV per atom
final energy = -5.90 eV/atom

Unit cell a=16.726 b=4.675 c=8.189 alpha=90.00 beta=109.57 gamma=90.00
Space group C2/m (No. 12)
Symmetry-distinct sites (fractional):
Ce1 0.000 0.000 0.000
Ce2 0.130 0.500 0.951
Ce3 0.214 0.000 0.351
Nd1 0.000 0.000 0.500
Sb1 0.071 0.500 0.300
Sb2 0.187 0.000 0.759

---

Entry 6:
Entry from Alexandria: an optimized crystal structure of Ce2NdSb (PBE).

total magnetization = 0.428 μB/atom
formation energy without anion corrections = -525 meV per atom
final energy = -5.71 eV/atom

Unit cell a=4.707 b=4.707 c=5.037 alpha=90.00 beta=90.00 gamma=90.00
Space group P4/mmm (No. 123)
Symmetry-distinct sites (fractional):
Ce1 0.000 0.500 0.000
Nd1 0.000 0.000 0.500
Sb1 0.500 0.500 0.500

---

Entry 7:
Entry from Alexandria: an optimized crystal structure of CeNd5Sb4 (PBE).

total magnetization = 0.090 μB/atom
formation energy without anion corrections = -766 meV per atom
final energy = -5.39 eV/atom

Unit cell a=19.272 b=4.426 c=8.748 alpha=90.00 beta=105.08 gamma=90.00
Space group C2/m (No. 12)
Symmetry-distinct sites (fractional):
Ce1 0.000 0.000 0.000
Nd1 0.000 0.000 0.500
Nd2 0.164 0.500 0.828
Nd3 0.174 0.500 0.347
Sb1 0.006 0.500 0.254
Sb2 0.169 0.000 0.089

---

Entry 8:
Entry from Alexandria: an optimized crystal structure of Ce2NdSb3 (PBE).

total magnetization = 0.273 μB/atom
formation energy without anion corrections = -1094 meV per atom
final energy = -5.93 eV/atom

Unit cell a=4.507 b=6.377 c=13.541 alpha=90.00 beta=90.00 gamma=90.00
Space group Immm (No. 71)
Symmetry-distinct sites (fractional):
Ce1 0.000 0.000 0.166
Nd1 0.000 0.000 0.500
Sb1 0.000 0.500 0.168
Sb2 0.000 0.500 0.500

---

Entry 9:
Entry from Alexandria: an optimized crystal structure of Ce2NdSb (PBE).

total magnetization = 0.296 μB/atom
formation energy without anion corrections = -485 meV per atom
final energy = -5.67 eV/atom

Unit cell a=4.215 b=4.215 c=6.867 alpha=90.00 beta=90.00 gamma=90.00
Space group P4/mmm (No. 123)
Symmetry-distinct sites (fractional):
Ce1 0.000 0.000 0.195
Nd1 0.500 0.500 0.500
Sb1 0.500 0.500 0.000

---

Entry 10:
Entry from Alexandria: an optimized crystal structure of Ce3NdSb4 (PBE).

total magnetization = 0.306 μB/atom
formation energy without anion corrections = -1079 meV per atom
final energy = -5.96 eV/atom

Unit cell a=9.010 b=12.745 c=4.509 alpha=90.00 beta=90.00 gamma=90.00
Space group Cmmm (No. 65)
Symmetry-distinct sites (fractional):
Ce1 0.000 0.000 0.000
Ce2 0.250 0.250 0.500
Nd1 0.000 0.500 0.000
Sb1 0.000 0.249 0.000
Sb2 0.248 0.000 0.500

---

Entry 11:
Entry from Alexandria: an optimized crystal structure of Ce3NdSb4 (PBE).

total magnetization = 0.336 μB/atom
formation energy without anion corrections = -1077 meV per atom
final energy = -5.96 eV/atom

Unit cell a=6.376 b=6.376 c=6.376 alpha=90.00 beta=90.00 gamma=90.00
Space group Pm-3m (No. 221)
Symmetry-distinct sites (fractional):
Ce1 0.000 0.000 0.500
Nd1 0.500 0.500 0.500
Sb1 0.000 0.000 0.000
Sb2 0.000 0.500 0.500

---

Entry 12:
Entry from Alexandria: an optimized crystal structure of CeNdSc2Sb4 (PBE).

total magnetization = 0.089 μB/atom
formation energy without anion corrections = -1016 meV per atom
final energy = -6.00 eV/atom

Unit cell a=7.472 b=4.349 c=7.540 alpha=90.00 beta=109.56 gamma=90.00
Space group P2/m (No. 10)
Symmetry-distinct sites (fractional):
Ce1 0.000 0.000 0.000
Nd1 0.000 0.500 0.500
Sc1 0.500 0.000 0.500
Sc2 0.500 0.500 0.000
Sb1 0.272 0.500 0.256
Sb2 0.273 0.000 0.759

---

Entry 13:
Entry from Alexandria: an optimized crystal structure of Ce2NdScSb4 (PBE).

total magnetization = 0.190 μB/atom
formation energy without anion corrections = -1030 meV per atom
final energy = -5.96 eV/atom

Unit cell a=7.664 b=4.431 c=7.668 alpha=90.00 beta=109.51 gamma=90.00
Space group P2/m (No. 10)
Symmetry-distinct sites (fractional):
Ce1 0.000 0.000 0.000
Ce2 0.000 0.500 0.500
Nd1 0.500 0.000 0.500
Sc1 0.500 0.500 0.000
Sb1 0.255 0.500 0.240
Sb2 0.263 0.000 0.765

---

Entry 14:
Entry from Alexandria: an optimized crystal structure of Ce2NdSmSb5 (PBE).

total magnetization = 0.197 μB/atom
formation energy without anion corrections = -230 meV per atom
final energy = -4.89 eV/atom

Unit cell a=5.366 b=5.366 c=11.805 alpha=90.00 beta=90.00 gamma=90.00
Space group P4/mmm (No. 123)
Symmetry-distinct sites (fractional):
Ce1 0.000 0.000 0.217
Nd1 0.500 0.500 0.500
Sm1 0.500 0.500 0.000
Sb1 0.000 0.000 0.500
Sb2 0.000 0.500 0.000
Sb3 0.500 0.500 0.251

---

Entry 15:
Entry from Alexandria: an optimized crystal structure of Sr2CeNdSb4 (PBE).

total magnetization = 0.000 μB/atom
formation energy without anion corrections = -988 meV per atom
final energy = -4.81 eV/atom

Unit cell a=8.002 b=4.606 c=8.071 alpha=90.00 beta=109.30 gamma=90.00
Space group P2/m (No. 10)
Symmetry-distinct sites (fractional):
Sr1 0.000 0.000 0.000
Sr2 0.500 0.500 0.000
Ce1 0.000 0.500 0.500
Nd1 0.500 0.000 0.500
Sb1 0.237 0.000 0.725
Sb2 0.253 0.500 0.271

---

Entry 16:
Entry from Alexandria: an optimized crystal structure of TbCe3Nd2Sb6 (PBE).

total magnetization = 0.195 μB/atom
formation energy without anion corrections = -1111 meV per atom
final energy = -5.84 eV/atom

Unit cell a=7.781 b=13.477 c=7.784 alpha=90.00 beta=109.48 gamma=90.00
Space group C2/m (No. 12)
Symmetry-distinct sites (fractional):
Tb1 0.000 0.000 0.000
Ce1 0.000 0.168 0.500
Ce2 0.000 0.500 0.500
Nd1 0.000 0.334 0.000
Sb1 0.245 0.000 0.748
Sb2 0.248 0.165 0.250

---

Entry 17:
Entry from Alexandria: an optimized crystal structure of TbCeNd2Sb4 (PBE).

total magnetization = 0.087 μB/atom
formation energy without anion corrections = -1143 meV per atom
final energy = -5.72 eV/atom

Unit cell a=7.766 b=4.484 c=7.773 alpha=90.00 beta=109.37 gamma=90.00
Space group P2/m (No. 10)
Symmetry-distinct sites (fractional):
Tb1 0.000 0.000 0.000
Ce1 0.500 0.500 0.000
Nd1 0.000 0.500 0.500
Nd2 0.500 0.000 0.500
Sb1 0.246 0.500 0.243
Sb2 0.250 0.000 0.755

---

Entry 18:
Entry from Alexandria: an optimized crystal structure of TbCe2NdSb4 (PBE).

total magnetization = 0.192 μB/atom
formation energy without anion corrections = -1106 meV per atom
final energy = -5.83 eV/atom

Unit cell a=7.757 b=4.477 c=7.769 alpha=90.00 beta=109.43 gamma=90.00
Space group P2/m (No. 10)
Symmetry-distinct sites (fractional):
Tb1 0.000 0.000 0.000
Ce1 0.000 0.500 0.500
Ce2 0.500 0.000 0.500
Nd1 0.500 0.500 0.000
Sb1 0.245 0.500 0.248
Sb2 0.246 0.000 0.749

---

Entry 19:
Entry from Alexandria: an optimized crystal structure of TbCeNd2Sb5 (PBE).

total magnetization = 0.056 μB/atom
formation energy without anion corrections = -296 meV per atom
final energy = -4.82 eV/atom

Unit cell a=5.306 b=5.306 c=11.778 alpha=90.00 beta=90.00 gamma=90.00
Space group P4/mmm (No. 123)
Symmetry-distinct sites (fractional):
Tb1 0.000 0.000 0.000
Ce1 0.000 0.000 0.500
Nd1 0.500 0.500 0.220
Sb1 0.000 0.000 0.252
Sb2 0.000 0.500 0.000
Sb3 0.500 0.500 0.500

---

Entry 20:
Entry from Alexandria: an optimized crystal structure of Tb2Ce3NdSb6 (PBE).

total magnetization = 0.197 μB/atom
formation energy without anion corrections = -1104 meV per atom
final energy = -5.82 eV/atom

Unit cell a=7.745 b=13.415 c=7.748 alpha=90.00 beta=109.48 gamma=90.00
Space group C2/m (No. 12)
Symmetry-distinct sites (fractional):
Tb1 0.000 0.167 0.000
Ce1 0.000 0.000 0.500
Ce2 0.000 0.335 0.500
Nd1 0.000 0.500 0.000
Sb1 0.244 0.000 0.246
Sb2 0.248 0.169 0.752